1.
Here is a relaxed CsBeTe2N crystal from Alexandria. Energies are from PBE-GGA.

Structure (POSCAR):
```
CsBeTe2N
1.0
6.581 0.000 0.000
0.000 6.581 0.000
0.000 0.000 4.150
Cs Be Te N
1 1 2 1
Cartesian
0.000 0.000 0.000 Cs
3.291 3.291 2.075 Be
0.000 3.291 0.000 Te
3.291 0.000 0.000 Te
0.000 0.000 2.075 N
```

ΔE to the lowest computed polymorph = 2034 meV per atom
Total magnetic moment = 0.00 μB per formula unit

2.
Here is a relaxed CsBeTeN2 crystal from Alexandria. Energies are from PBE-GGA.

Structure (POSCAR):
```
CsBeTeN2
1.0
4.816 0.000 0.000
0.000 4.816 0.000
0.000 0.000 4.867
Cs Be Te N
1 1 1 2
Cartesian
0.000 0.000 0.000 Cs
2.408 2.408 2.434 Be
2.408 2.408 0.000 Te
0.000 2.408 2.434 N
2.408 0.000 2.434 N
```

ΔE to the lowest computed polymorph = 0 meV per atom
Total magnetic moment = 4.63 μB per formula unit

Respective ΔE_f (raw) values: 2.1883, 1.4762 eV/atom.